--- w ---
Computed, not measured: ReC3 at its PBEsol-relaxed geometry at the meta-GGA SCAN level of DFT.

Values from the calculation:
mass density = 11.1 g cm⁻³
magnetic moment = 0.00 μB/f.u.

a b c (Å): 3.211 3.211 3.211
angles (deg): 90.00 90.00 90.00
Space group Pm-3m (No. 221)
Symmetry-distinct sites (fractional):
Re (0.000, 0.000, 0.000) [1 per cell]
C (0.000, 0.500, 0.500) [3 per cell]


--- x ---
Computed, not measured: ReC3 at its PBEsol-relaxed geometry at the meta-GGA SCAN level of DFT.

Values from the calculation:
mass density = 9.6 g cm⁻³
magnetic moment = 0.00 μB/f.u.

a b c (Å): 2.8912 2.8912 15.9962
angles (deg): 90.00 90.00 120.00
Space group R-3m (No. 166, hexagonal axes)
Symmetry-distinct sites (fractional):
Re (0.0000, 0.0000, 0.0000) [3 per cell]
C (0.0000, 0.0000, 0.4180) [6 per cell]
C (0.0000, 0.0000, 0.5000) [3 per cell]


Most stable one: x, least stable one: w.


--- w ---
Computed, not measured: Re2C at its PBEsol-relaxed geometry at the meta-GGA SCAN level of DFT.

Values from the calculation:
mass density = 18.6 g cm⁻³
magnetic moment = 0.00 μB/f.u.

a b c (Å): 2.8415 2.8415 9.8416
angles (deg): 90.00 90.00 120.00
Space group P6_3/mmc (No. 194)
Symmetry-distinct sites (fractional):
Re (0.3333, 0.6667, 0.1084) [4 per cell]
C (0.3333, 0.6667, 0.7500) [2 per cell]


--- x ---
Computed, not measured: Re2C at its PBEsol-relaxed geometry at the meta-GGA SCAN level of DFT.

Values from the calculation:
mass density = 16.7 g cm⁻³
magnetic moment = 0.00 μB/f.u.

a b c (Å): 2.836 4.116 6.552
angles (deg): 90.00 90.00 90.00
Space group Immm (No. 71)
Symmetry-distinct sites (fractional):
Re (0.000, 0.000, 0.187) [4 per cell]
C (0.000, 0.000, 0.500) [2 per cell]


Most stable one: w, least stable one: x.


--- w ---
Computed, not measured: ReC5 at its PBEsol-relaxed geometry at the meta-GGA SCAN level of DFT.

Values from the calculation:
mass density = 7.8 g cm⁻³
magnetic moment = 0.00 μB/f.u.

a b c (Å): 3.7844 3.7844 4.2416
angles (deg): 90.00 90.00 120.00
Space group P-62m (No. 189)
Symmetry-distinct sites (fractional):
Re (0.0000, 0.0000, 0.0000) [1 per cell]
C (0.0000, 0.7740, 0.5000) [3 per cell]
C (0.3333, 0.6667, 0.0000) [2 per cell]


--- x ---
Computed, not measured: ReC5 at its PBEsol-relaxed geometry at the meta-GGA SCAN level of DFT.

Values from the calculation:
mass density = 8.8 g cm⁻³
magnetic moment = 0.00 μB/f.u.

a b c (Å): 5.708 5.708 5.708
angles (deg): 90.00 90.00 90.00
Space group F-43m (No. 216)
Symmetry-distinct sites (fractional):
Re (0.000, 0.000, 0.000) [4 per cell]
C (0.096, 0.096, 0.404) [16 per cell]
C (0.250, 0.250, 0.750) [4 per cell]


Most stable one: w, least stable one: x.


--- w ---
Computed, not measured: TlRe3C at its PBEsol-relaxed geometry at the meta-GGA SCAN level of DFT.

Values from the calculation:
mass density = 11.0 g cm⁻³
magnetic moment = 3.29 μB/f.u.

a b c (Å): 4.889 4.889 4.889
angles (deg): 90.00 90.00 90.00
Space group Pm-3m (No. 221)
Symmetry-distinct sites (fractional):
Tl (0.000, 0.000, 0.000) [1 per cell]
Re (0.000, 0.000, 0.500) [3 per cell]
C (0.500, 0.500, 0.500) [1 per cell]


--- x ---
Computed, not measured: TlRe3C at its PBEsol-relaxed geometry at the meta-GGA SCAN level of DFT.

Values from the calculation:
mass density = 18.1 g cm⁻³
magnetic moment = 0.43 μB/f.u.

a b c (Å): 4.142 4.142 4.142
angles (deg): 90.00 90.00 90.00
Space group Pm-3m (No. 221)
Symmetry-distinct sites (fractional):
Tl (0.000, 0.000, 0.000) [1 per cell]
Re (0.000, 0.500, 0.500) [3 per cell]
C (0.500, 0.500, 0.500) [1 per cell]


Most stable one: x, least stable one: w.


--- w ---
Computed, not measured: SbCS3 at its PBEsol-relaxed geometry at the meta-GGA SCAN level of DFT.

Values from the calculation:
mass density = 3.2 g cm⁻³
magnetic moment = 0.30 μB/f.u.

a b c (Å): 4.931 4.931 4.931
angles (deg): 90.00 90.00 90.00
Space group Pm-3m (No. 221)
Symmetry-distinct sites (fractional):
Sb (0.000, 0.000, 0.000) [1 per cell]
C (0.500, 0.500, 0.500) [1 per cell]
S (0.000, 0.000, 0.500) [3 per cell]


--- x ---
Computed, not measured: SbCS3 at its PBEsol-relaxed geometry at the meta-GGA SCAN level of DFT.

Values from the calculation:
mass density = 5.2 g cm⁻³
magnetic moment = 0.00 μB/f.u.

a b c (Å): 4.187 4.187 4.187
angles (deg): 90.00 90.00 90.00
Space group Pm-3m (No. 221)
Symmetry-distinct sites (fractional):
Sb (0.000, 0.000, 0.000) [1 per cell]
C (0.500, 0.500, 0.500) [1 per cell]
S (0.000, 0.500, 0.500) [3 per cell]


Most stable one: x, least stable one: w.


--- w ---
Computed, not measured: SnCS2 at its PBEsol-relaxed geometry at the meta-GGA SCAN level of DFT.

Values from the calculation:
mass density = 3.9 g cm⁻³
magnetic moment = 0.00 μB/f.u.

a b c (Å): 3.5196 3.5196 23.0627
angles (deg): 90.00 90.00 120.00
Space group R-3m (No. 166, hexagonal axes)
Symmetry-distinct sites (fractional):
Sn (0.0000, 0.0000, 0.0000) [3 per cell]
C (0.0000, 0.0000, 0.5000) [3 per cell]
S (0.0000, 0.0000, 0.4317) [6 per cell]


--- x ---
Computed, not measured: SnCS2 at its PBEsol-relaxed geometry at the meta-GGA SCAN level of DFT.

Values from the calculation:
mass density = 4.4 g cm⁻³
magnetic moment = 0.00 μB/f.u.

a b c (Å): 5.814 5.814 8.727
angles (deg): 90.00 90.00 90.00
Space group I-42d (No. 122)
Symmetry-distinct sites (fractional):
Sn (0.000, 0.000, 0.000) [4 per cell]
C (0.000, 0.000, 0.500) [4 per cell]
S (0.107, 0.250, 0.625) [8 per cell]


Most stable one: w, least stable one: x.


--- w ---
Computed, not measured: SbC2 at its PBEsol-relaxed geometry at the meta-GGA SCAN level of DFT.

Values from the calculation:
mass density = 5.1 g cm⁻³
magnetic moment = 0.00 μB/f.u.

a b c (Å): 7.9319 7.9319 2.6199
angles (deg): 90.00 90.00 120.00
Space group P-62m (No. 189)
Symmetry-distinct sites (fractional):
Sb (0.0000, 0.0000, 0.0000) [1 per cell]
Sb (0.3333, 0.6667, 0.5000) [2 per cell]
C (0.0000, 0.6481, 0.5000) [3 per cell]
C (0.0000, 0.7196, 0.0000) [3 per cell]


--- x ---
Computed, not measured: SbC2 at its PBEsol-relaxed geometry at the meta-GGA SCAN level of DFT.

Values from the calculation:
mass density = 6.6 g cm⁻³
magnetic moment = 0.00 μB/f.u.

a b c (Å): 4.190 5.251 3.340
angles (deg): 90.00 90.00 90.00
Space group Pnnm (No. 58)
Symmetry-distinct sites (fractional):
Sb (0.000, 0.000, 0.000) [2 per cell]
C (0.133, 0.421, 0.000) [4 per cell]


--- y ---
Computed, not measured: SbC2 at its PBEsol-relaxed geometry at the meta-GGA SCAN level of DFT.

Values from the calculation:
mass density = 5.0 g cm⁻³
magnetic moment = 0.00 μB/f.u.

a b c (Å): 2.6934 2.6934 15.4797
angles (deg): 90.00 90.00 120.00
Space group P6_3/mmc (No. 194)
Symmetry-distinct sites (fractional):
Sb (0.3333, 0.6667, 0.2500) [2 per cell]
C (0.3333, 0.6667, 0.0001) [4 per cell]


--- z ---
Computed, not measured: SbC2 at its PBEsol-relaxed geometry at the meta-GGA SCAN level of DFT.

Values from the calculation:
mass density = 4.0 g cm⁻³
magnetic moment = 0.00 μB/f.u.

a b c (Å): 3.021 6.332 12.805
angles (deg): 90.00 90.00 90.00
Space group Imma (No. 74)
Symmetry-distinct sites (fractional):
Sb (0.000, 0.250, 0.004) [4 per cell]
C (0.000, 0.250, 0.279) [4 per cell]
C (0.000, 0.250, 0.384) [4 per cell]


Most stable one: y, least stable one: x.


--- w ---
Computed, not measured: SbC2 at its PBEsol-relaxed geometry at the meta-GGA SCAN level of DFT.

Values from the calculation:
mass density = 6.3 g cm⁻³
magnetic moment = 0.00 μB/f.u.

a b c (Å): 3.3740 3.3740 11.6753
angles (deg): 90.00 90.00 120.00
Space group R-3m (No. 166, hexagonal axes)
Symmetry-distinct sites (fractional):
Sb (0.0000, 0.0000, 0.0000) [3 per cell]
C (0.0000, 0.0000, 0.2322) [6 per cell]


--- x ---
Computed, not measured: SbC2 at its PBEsol-relaxed geometry at the meta-GGA SCAN level of DFT.

Values from the calculation:
mass density = 6.1 g cm⁻³
magnetic moment = 0.00 μB/f.u.

a b c (Å): 5.402 5.402 5.402
angles (deg): 90.00 90.00 90.00
Space group Fm-3m (No. 225)
Symmetry-distinct sites (fractional):
Sb (0.000, 0.000, 0.000) [4 per cell]
C (0.250, 0.250, 0.250) [8 per cell]


Most stable one: w, least stable one: x.